The following is a DFT calculation (GGA-PBE) of NpSbP after structural relaxation.

Cell and atoms, written as POSCAR:
```
NpSbP
1.0
2.124 1.226 8.903
-2.124 1.226 8.903
0.000 -2.452 8.903
Np Sb P
2 2 2
Cartesian
0.000 0.000 1.561
0.000 0.000 25.147
0.000 0.000 5.320
0.000 0.000 21.389
0.000 0.000 8.975
0.000 0.000 17.734
```

Properties
Electronic total energy = -7.7138 eV per atom
SG = R-3m (166)
Energy above the most stable polymorph in this dataset = 0.000 eV/atom
DOS(E_F) = 6.867 states/eV/f.u.